Record 1
Compound: La6YHg2
Source: Alexandria via LeMat-Bulk
Functional: GGA-PBE
Structure: relaxed

volume	298.79	Å³/f.u.
formation energy from the elements	-0.226	eV per atom
E	-38.67	eV per formula unit
spin magnetization	0.00	μB/f.u.

a = 3.867 Å, b = 6.883 Å, c = 12.150 Å
α = 75.23°, β = 80.84°, γ = 73.69°
Fractional positions:
La1 0.685 0.506 0.125
La2 0.315 0.494 0.875
La3 0.307 0.792 0.594
La4 0.976 0.711 0.336
La5 0.024 0.289 0.664
La6 0.693 0.208 0.406
Y1 0.000 0.000 0.000
Hg1 0.364 0.083 0.188
Hg2 0.636 0.917 0.812

Record 2
Compound: LaYHg
Source: Alexandria via LeMat-Bulk
Functional: GGA-PBE
Structure: relaxed

volume	98.05	Å³/f.u.
polymorph energy (0 for the lowest one)	185	meV/atom
formation energy from the elements	-0.133	eV per atom
E	-12.09	eV per formula unit
spin magnetization	0.00	μB/f.u.

a = 5.013 Å, b = 5.013 Å, c = 9.465 Å
α = 74.65°, β = 74.65°, γ = 60.00°
Fractional positions:
La1 0.140 0.140 0.580
La2 0.860 0.860 0.420
Y1 0.624 0.624 0.128
Y2 0.376 0.376 0.872
Hg1 0.741 0.741 0.778
Hg2 0.259 0.259 0.222

Record 3
Compound: La3Y4Hg
Source: Alexandria via LeMat-Bulk
Functional: GGA-PBE
Structure: relaxed

volume	259.88	Å³/f.u.
formation energy from the elements	-0.108	eV per atom
E	-41.80	eV per formula unit
spin magnetization	0.04	μB/f.u.

a = 3.673 Å, b = 3.673 Å, c = 19.262 Å
α = 90.00°, β = 90.00°, γ = 90.00°
Fractional positions:
Y1 0.000 0.000 0.900
Y2 0.000 0.000 0.100
Y3 0.000 0.000 0.367
Y4 0.000 0.000 0.633
Hg1 0.500 0.500 0.000
La1 0.500 0.500 0.233
La2 0.500 0.500 0.500
La3 0.500 0.500 0.767

Record 4
Compound: LaYHg3
Source: Alexandria via LeMat-Bulk
Functional: GGA-PBE
Structure: relaxed

volume	188.59	Å³/f.u.
polymorph energy (0 for the lowest one)	931	meV/atom
formation energy from the elements	0.458	eV per atom
E	-10.01	eV per formula unit
spin magnetization	0.00	μB/f.u.

a = 5.735 Å, b = 5.735 Å, c = 5.735 Å
α = 90.00°, β = 90.00°, γ = 90.00°
Fractional positions:
Y1 0.500 0.500 0.500
Hg1 0.000 0.500 0.000
Hg2 0.000 0.000 0.500
Hg3 0.500 0.000 0.000
La1 0.000 0.000 0.000

Record 5
Compound: La6ZnHg5
Source: Alexandria via LeMat-Bulk
Functional: GGA-PBE
Structure: relaxed

volume	353.17	Å³/f.u.
formation energy from the elements	-0.466	eV per atom
E	-37.94	eV per formula unit
spin magnetization	1.98	μB/f.u.

a = 5.491 Å, b = 7.816 Å, c = 9.518 Å
α = 114.24°, β = 106.83°, γ = 90.00°
Fractional positions:
Zn1 0.000 0.000 0.000
Hg1 0.667 0.168 0.335
Hg2 0.334 0.334 0.669
Hg3 0.000 0.500 0.000
Hg4 0.666 0.666 0.331
Hg5 0.333 0.832 0.665
La1 0.836 0.590 0.672
La2 0.836 0.082 0.672
La3 0.500 0.758 0.000
La4 0.500 0.242 0.000
La5 0.164 0.918 0.328
La6 0.164 0.410 0.328

Record 6
Compound: La6Zn5Hg
Source: Alexandria via LeMat-Bulk
Functional: GGA-PBE
Structure: relaxed

volume	326.50	Å³/f.u.
formation energy from the elements	-0.342	eV per atom
E	-40.34	eV per formula unit
spin magnetization	0.00	μB/f.u.

a = 5.351 Å, b = 7.584 Å, c = 8.482 Å
α = 90.00°, β = 71.55°, γ = 90.00°
Fractional positions:
Zn1 0.667 0.500 0.667
Zn2 0.331 0.000 0.338
Zn3 0.000 0.500 0.000
Zn4 0.669 0.000 0.662
Zn5 0.333 0.500 0.333
Hg1 0.000 0.000 0.000
La1 0.830 0.743 0.339
La2 0.830 0.257 0.339
La3 0.500 0.259 0.000
La4 0.500 0.741 0.000
La5 0.170 0.743 0.661
La6 0.170 0.257 0.661

Record 7
Compound: La2Zn2Hg
Source: Alexandria via LeMat-Bulk
Functional: GGA-PBE
Structure: relaxed

volume	140.27	Å³/f.u.
formation energy from the elements	-0.127	eV per atom
E	-13.34	eV per formula unit
spin magnetization	0.03	μB/f.u.

a = 5.971 Å, b = 5.971 Å, c = 5.771 Å
α = 58.85°, β = 58.85°, γ = 90.00°
Fractional positions:
Zn1 0.353 0.353 0.294
Zn2 0.647 0.647 0.706
Hg1 0.000 0.000 0.000
La1 0.750 0.250 0.500
La2 0.250 0.750 0.500

Record 8
Compound: LaZn3Hg3
Source: Alexandria via LeMat-Bulk
Functional: GGA-PBE
Structure: relaxed

volume	189.23	Å³/f.u.
formation energy from the elements	0.151	eV per atom
E	-8.60	eV per formula unit
spin magnetization	0.00	μB/f.u.

a = 7.233 Å, b = 7.233 Å, c = 7.233 Å
α = 90.00°, β = 90.00°, γ = 90.00°
Fractional positions:
Zn1 0.250 0.000 0.500
Zn2 0.000 0.500 0.250
Zn3 0.500 0.750 0.000
Zn4 0.750 0.000 0.500
Zn5 0.000 0.500 0.750
Zn6 0.500 0.250 0.000
Hg1 0.000 0.250 0.500
Hg2 0.000 0.750 0.500
Hg3 0.500 0.000 0.750
Hg4 0.750 0.500 0.000
Hg5 0.500 0.000 0.250
Hg6 0.250 0.500 0.000
La1 0.500 0.500 0.500
La2 0.000 0.000 0.000

Repeat the third record exactly.
Compound: La3Y4Hg
Source: Alexandria via LeMat-Bulk
Functional: GGA-PBE
Structure: relaxed

volume	259.88	Å³/f.u.
formation energy from the elements	-0.108	eV per atom
E	-41.80	eV per formula unit
spin magnetization	0.04	μB/f.u.

a = 3.673 Å, b = 3.673 Å, c = 19.262 Å
α = 90.00°, β = 90.00°, γ = 90.00°
Fractional positions:
Y1 0.000 0.000 0.900
Y2 0.000 0.000 0.100
Y3 0.000 0.000 0.367
Y4 0.000 0.000 0.633
Hg1 0.500 0.500 0.000
La1 0.500 0.500 0.233
La2 0.500 0.500 0.500
La3 0.500 0.500 0.767